Compound: Sr4LaCl
Source: Alexandria via LeMat-Bulk
Functional: PBE
Structure: optimized geometry

Cell: 10.781 10.781 10.781 Å, 90.00 90.00 90.00°
Space group F-43m (No. 216)
Symmetry-distinct sites (fractional):
Sr 0.123 0.123 0.377 [16 per cell]
La 0.250 0.250 0.750 [4 per cell]
Cl 0.000 0.000 0.000 [4 per cell]

Values from the calculation:
The calculation puts the uncorrected formation energy at 0.180 eV per atom.


Compound: SrLaCl
Source: Alexandria via LeMat-Bulk
Functional: PBE
Structure: optimized geometry

Cell: 4.065 6.544 15.734 Å, 90.00 90.00 90.00°
Space group Fmm2 (No. 42)
Symmetry-distinct sites (fractional):
Sr 0.000 0.000 0.000 [4 per cell]
La 0.000 0.000 0.297 [4 per cell]
Cl 0.000 0.000 0.645 [4 per cell]

Values from the calculation:
The calculation puts the uncorrected formation energy at -0.930 eV per atom.


Compound: SrLaCl
Source: Alexandria via LeMat-Bulk
Functional: PBE
Structure: optimized geometry

Cell: 7.331 7.331 7.331 Å, 90.00 90.00 90.00°
Space group F-43m (No. 216)
Symmetry-distinct sites (fractional):
Sr 0.000 0.000 0.000 [4 per cell]
La 0.000 0.000 0.500 [4 per cell]
Cl 0.250 0.250 0.750 [4 per cell]

Values from the calculation:
The calculation puts the uncorrected formation energy at -0.542 eV per atom.


Compound: SrLa2Cl2
Source: Alexandria via LeMat-Bulk
Functional: PBE
Structure: optimized geometry

Cell: 4.588 4.588 17.883 Å, 90.00 90.00 90.00°
Space group I4/mmm (No. 139)
Symmetry-distinct sites (fractional):
Sr 0.000 0.000 0.000 [2 per cell]
La 0.000 0.000 0.356 [4 per cell]
Cl 0.000 0.500 0.250 [4 per cell]

Values from the calculation:
The calculation puts the uncorrected formation energy at -0.960 eV per atom.


Compound: SrLaCl
Source: Alexandria via LeMat-Bulk
Functional: PBE
Structure: optimized geometry

Cell: 3.9915 3.9915 7.5370 Å, 90.00 90.00 120.00°
Space group P3m1 (No. 156)
Symmetry-distinct sites (fractional):
Sr 0.0000 0.0000 0.0000 [1 per cell]
La 0.3333 0.6667 0.5756 [1 per cell]
Cl 0.6667 0.3333 0.2901 [1 per cell]

Values from the calculation:
The calculation puts the uncorrected formation energy at -0.992 eV per atom.


Compound: SrLaCl4
Source: Alexandria via LeMat-Bulk
Functional: PBE
Structure: optimized geometry

Cell: 8.621 8.621 8.621 Å, 90.00 90.00 90.00°
Space group F-43m (No. 216)
Symmetry-distinct sites (fractional):
Sr 0.000 0.000 0.000 [4 per cell]
La 0.250 0.250 0.250 [4 per cell]
Cl 0.125 0.125 0.625 [16 per cell]

Values from the calculation:
The calculation puts the uncorrected formation energy at -0.909 eV per atom.


Compound: Sr5La2Cl16
Source: Alexandria via LeMat-Bulk
Functional: PBE
Structure: optimized geometry

Cell: 9.783 15.266 19.112 Å, 90.00 90.00 90.00°
Space group Ccce (No. 68, origin choice 2)
Symmetry-distinct sites (fractional):
Sr 0.000 0.250 0.029 [8 per cell]
Sr 0.000 0.250 0.750 [4 per cell]
Sr 0.250 0.000 0.103 [8 per cell]
La 0.250 0.000 0.360 [8 per cell]
Cl 0.012 0.104 0.362 [16 per cell]
Cl 0.116 0.079 0.970 [16 per cell]
Cl 0.182 0.104 0.746 [16 per cell]
Cl 0.184 0.198 0.586 [16 per cell]

Values from the calculation:
The calculation puts the uncorrected formation energy at -2.367 eV per atom.


Compound: SrLaTe2Cl
Source: Alexandria via LeMat-Bulk
Functional: PBE
Structure: optimized geometry

Cell: 5.937 5.937 7.965 Å, 90.00 90.00 90.00°
Space group P4/mmm (No. 123)
Symmetry-distinct sites (fractional):
Sr 0.000 0.000 0.000 [1 per cell]
La 0.000 0.000 0.500 [1 per cell]
Te 0.000 0.500 0.500 [2 per cell]
Cl 0.500 0.500 0.000 [1 per cell]

Values from the calculation:
The calculation puts the uncorrected formation energy at -0.550 eV per atom.


Compound: LaTaCl2
Source: Alexandria via LeMat-Bulk
Functional: PBE
Structure: optimized geometry

Cell: 3.506 5.026 12.065 Å, 90.00 90.00 90.00°
Space group Immm (No. 71)
Symmetry-distinct sites (fractional):
La 0.000 0.000 0.000 [2 per cell]
Ta 0.000 0.000 0.500 [2 per cell]
Cl 0.000 0.500 0.154 [4 per cell]

Values from the calculation:
The calculation puts the uncorrected formation energy at -0.567 eV per atom.


Compound: LaTaCl2
Source: Alexandria via LeMat-Bulk
Functional: PBE
Structure: optimized geometry

Cell: 7.044 7.044 7.044 Å, 90.00 90.00 90.00°
Space group Fm-3m (No. 225)
Symmetry-distinct sites (fractional):
La 0.000 0.000 0.000 [4 per cell]
Ta 0.000 0.000 0.500 [4 per cell]
Cl 0.250 0.250 0.250 [8 per cell]

Values from the calculation:
The calculation puts the uncorrected formation energy at -0.076 eV per atom.


Compound: LaTaCl2
Source: Alexandria via LeMat-Bulk
Functional: PBE
Structure: optimized geometry

Cell: 4.065 4.065 11.285 Å, 90.00 90.00 90.00°
Space group I-4m2 (No. 119)
Symmetry-distinct sites (fractional):
La 0.000 0.000 0.000 [2 per cell]
Ta 0.000 0.500 0.750 [2 per cell]
Cl 0.000 0.000 0.500 [2 per cell]
Cl 0.000 0.500 0.250 [2 per cell]

Values from the calculation:
The calculation puts the uncorrected formation energy at -0.137 eV per atom.


Compound: La2TaCl
Source: Alexandria via LeMat-Bulk
Functional: PBE
Structure: optimized geometry

Cell: 3.263 3.263 11.458 Å, 90.00 90.00 90.00°
Space group P4mm (No. 99)
Symmetry-distinct sites (fractional):
La 0.000 0.000 0.000 [1 per cell]
La 0.500 0.500 0.314 [1 per cell]
Ta 0.000 0.000 0.507 [1 per cell]
Cl 0.500 0.500 0.840 [1 per cell]

Values from the calculation:
The calculation puts the uncorrected formation energy at 0.038 eV per atom.


Compound: LaTaCl2
Source: Alexandria via LeMat-Bulk
Functional: PBE
Structure: optimized geometry

Cell: 7.444 7.444 7.444 Å, 90.00 90.00 90.00°
Space group F-43m (No. 216)
Symmetry-distinct sites (fractional):
La 0.000 0.000 0.000 [4 per cell]
Ta 0.250 0.250 0.750 [4 per cell]
Cl 0.000 0.000 0.500 [4 per cell]
Cl 0.250 0.250 0.250 [4 per cell]

Values from the calculation:
The calculation puts the uncorrected formation energy at 0.166 eV per atom.


Compound: LaTaCl2
Source: Alexandria via LeMat-Bulk
Functional: PBE
Structure: optimized geometry

Cell: 10.880 3.376 5.508 Å, 90.00 90.56 90.00°
Space group C2/m (No. 12)
Symmetry-distinct sites (fractional):
La 0.000 0.000 0.000 [2 per cell]
Ta 0.000 0.500 0.500 [2 per cell]
Cl 0.185 0.500 0.753 [4 per cell]

Values from the calculation:
The calculation puts the uncorrected formation energy at -0.570 eV per atom.


Compound: La2TaCl
Source: Alexandria via LeMat-Bulk
Functional: PBE
Structure: optimized geometry

Cell: 3.287 5.140 13.210 Å, 90.00 90.00 90.00°
Space group Imm2 (No. 44)
Symmetry-distinct sites (fractional):
La 0.000 0.000 0.000 [2 per cell]
La 0.000 0.500 0.211 [2 per cell]
Ta 0.000 0.500 0.723 [2 per cell]
Cl 0.000 0.000 0.497 [2 per cell]

Values from the calculation:
The calculation puts the uncorrected formation energy at -0.073 eV per atom.


Compound: LaTa4Cl
Source: Alexandria via LeMat-Bulk
Functional: PBE
Structure: optimized geometry

Cell: 8.179 8.179 8.179 Å, 90.00 90.00 90.00°
Space group F-43m (No. 216)
Symmetry-distinct sites (fractional):
La 0.000 0.000 0.000 [4 per cell]
Ta 0.131 0.131 0.631 [16 per cell]
Cl 0.250 0.250 0.250 [4 per cell]

Values from the calculation:
The calculation puts the uncorrected formation energy at 0.686 eV per atom.


Compound: LaTaCl2
Source: Alexandria via LeMat-Bulk
Functional: PBE
Structure: optimized geometry

Cell: 3.365 4.762 5.940 Å, 90.00 90.19 90.00°
Space group Pm (No. 6)
Symmetry-distinct sites (fractional):
La 0.000 0.000 0.000 [1 per cell]
Ta 0.502 0.500 0.299 [1 per cell]
Cl 0.004 0.500 0.639 [1 per cell]
Cl 0.502 0.000 0.402 [1 per cell]

Values from the calculation:
The calculation puts the uncorrected formation energy at -0.576 eV per atom.


Compound: LaTaCl2
Source: Alexandria via LeMat-Bulk
Functional: PBE
Structure: optimized geometry

Cell: 3.324 3.324 10.779 Å, 90.00 90.00 90.00°
Space group P4/mmm (No. 123)
Symmetry-distinct sites (fractional):
La 0.000 0.000 0.000 [1 per cell]
Ta 0.000 0.000 0.500 [1 per cell]
Cl 0.500 0.500 0.160 [2 per cell]

Values from the calculation:
The calculation puts the uncorrected formation energy at -0.242 eV per atom.


Compound: LaTaCl2
Source: Alexandria via LeMat-Bulk
Functional: PBE
Structure: optimized geometry

Cell: 3.3130 3.3130 28.1744 Å, 90.00 90.00 120.00°
Space group R-3m (No. 166, hexagonal axes)
Symmetry-distinct sites (fractional):
La 0.0000 0.0000 0.0000 [3 per cell]
Ta 0.0000 0.0000 0.5000 [3 per cell]
Cl 0.0000 0.0000 0.4122 [6 per cell]

Values from the calculation:
The calculation puts the uncorrected formation energy at -0.605 eV per atom.


Compound: LaTaCl2
Source: Alexandria via LeMat-Bulk
Functional: PBE
Structure: optimized geometry

Cell: 3.167 4.695 6.169 Å, 90.00 90.00 90.00°
Space group Pmmm (No. 47)
Symmetry-distinct sites (fractional):
La 0.000 0.000 0.000 [1 per cell]
Ta 0.500 0.000 0.500 [1 per cell]
Cl 0.000 0.500 0.500 [1 per cell]
Cl 0.500 0.500 0.000 [1 per cell]

Values from the calculation:
The calculation puts the uncorrected formation energy at -0.362 eV per atom.